## MnCu3B (PBE)

Data for a relaxed MnCu3B crystal.

a b c (Å): 4.525 4.525 4.525
angles (deg): 90.00 90.00 90.00
Space group Pm-3m (No. 221)
Inequivalent atoms, fractional coordinates:
Mn: 0.000 0.000 0.000 (multiplicity 1)
Cu: 0.000 0.000 0.500 (multiplicity 3)
B: 0.500 0.500 0.500 (multiplicity 1)

Values from the calculation:
As for the energy above the lowest structure with this stoichiometry: 1604.2 meV/atom. For the total moment, the calculation gives 4.3 Bohr magnetons per cell. The value obtained for the formation energy is 1.89 eV per atom. For the density of states at the Fermi level, the calculation gives 0.63 states/eV per atom.


## TaOsW2 (PBE)

Data for a relaxed TaOsW2 crystal.

a b c (Å): 6.365 6.365 6.365
angles (deg): 90.00 90.00 90.00
Space group Fm-3m (No. 225)
Inequivalent atoms, fractional coordinates:
Ta: 0.000 0.000 0.000 (multiplicity 4)
Os: 0.000 0.000 0.500 (multiplicity 4)
W: 0.250 0.250 0.250 (multiplicity 8)

Values from the calculation:
As for the energy above the lowest structure with this stoichiometry: 130.5 meV/atom. For the total moment, the calculation gives 0.0 Bohr magnetons per cell. The value obtained for the formation energy is 0.07 eV per atom. For the density of states at the Fermi level, the calculation gives 0.78 states/eV per atom.


## Cs2RbBrCl4 (PBE)

Data for a relaxed Cs2RbBrCl4 crystal.

a b c (Å): 12.816 15.565 9.233
angles (deg): 90.00 129.67 90.00
Space group C2/c (No. 15)
Inequivalent atoms, fractional coordinates:
Cs: 0.000 0.000 0.000 (multiplicity 4)
Cs: 0.250 0.250 0.000 (multiplicity 4)
Rb: 0.000 0.500 0.000 (multiplicity 4)
Br: 0.250 0.250 0.500 (multiplicity 4)
Cl: 0.071 0.252 0.523 (multiplicity 8)
Cl: 0.239 0.463 0.990 (multiplicity 8)

Values from the calculation:
As for the raw formation energy: -1450.1 meV per atom. For the total moment, the calculation gives 0.0 Bohr magnetons per cell. For the density of states at the Fermi level, the calculation gives 0.00 states/eV per atom.


## Pr2NdTl (PBE)

Data for a relaxed Pr2NdTl crystal.

a b c (Å): 8.012 8.012 8.012
angles (deg): 90.00 90.00 90.00
Space group Fm-3m (No. 225)
Inequivalent atoms, fractional coordinates:
Pr: 0.250 0.250 0.250 (multiplicity 8)
Nd: 0.000 0.000 0.000 (multiplicity 4)
Tl: 0.000 0.000 0.500 (multiplicity 4)

Values from the calculation:
As for the energy above the lowest structure with this stoichiometry: 148.1 meV/atom. For the total moment, the calculation gives 5.3 Bohr magnetons per cell. The value obtained for the formation energy is -0.06 eV per atom. For the density of states at the Fermi level, the calculation gives 1.53 states/eV per atom.


## CaSc2Se (PBE)

Data for a relaxed CaSc2Se crystal.

a b c (Å): 8.619 8.619 5.968
angles (deg): 90.00 90.00 90.00
Space group I-42d (No. 122)
Inequivalent atoms, fractional coordinates:
Ca: 0.000 0.000 0.000 (multiplicity 4)
Sc: 0.164 0.250 0.625 (multiplicity 8)
Se: 0.000 0.000 0.500 (multiplicity 4)

Values from the calculation:
As for the raw formation energy: -451.4 meV per atom. For the total moment, the calculation gives 6.8 Bohr magnetons per cell. For the density of states at the Fermi level, the calculation gives 0.64 states/eV per atom.


## Ti2CrSiTc (PBE)

Data for a relaxed Ti2CrSiTc crystal.

a b c (Å): 4.559 4.559 4.297
angles (deg): 90.00 90.00 90.00
Space group P4/mmm (No. 123)
Inequivalent atoms, fractional coordinates:
Ti: 0.000 0.500 0.000 (multiplicity 2)
Cr: 0.000 0.000 0.500 (multiplicity 1)
Si: 0.500 0.500 0.000 (multiplicity 1)
Tc: 0.500 0.500 0.500 (multiplicity 1)

Values from the calculation:
As for the raw formation energy: 850.4 meV per atom. For the total moment, the calculation gives 0.0 Bohr magnetons per cell. For the density of states at the Fermi level, the calculation gives 1.16 states/eV per atom.